Entry 1:
The following is a DFT calculation (PBE) of BaSc2Ni2 after structural relaxation.

Cell: 4.7540 4.7540 6.4561 Å, 68.40 68.40 90.00°
Site moments in Bohr magnetons follow the coordinates.
Positions (direct):
Sc1 0.6653 0.6653 0.6693  0.16
Ni1 0.2500 0.7500 0.5000  -0.02
Ni2 0.7500 0.2500 0.5000  -0.02
Ba1 0.0000 0.0000 0.0000  0.04
Sc2 0.3347 0.3347 0.3307  0.16

M_tot ... 0.79 μB per formula unit
SG ... I4/mmm (139)
Formation energy from the elements ... -0.01 eV/atom
Energy relative to the lowest polymorph listed for this composition ... 0.129 eV per atom

***

Entry 2:
The following is a DFT calculation (PBE) of Th2HgAs after structural relaxation.

Cell: 3.5697 3.5697 8.1919 Å, 90.00 90.00 90.00°
Positions (direct):
Th1 0.0000 0.0000 0.2247
Hg1 0.5000 0.5000 0.5000
As1 0.5000 0.5000 0.0000
Th2 0.0000 0.0000 0.7753

M_tot ... 0.00 μB per formula unit
SG ... P4/mmm (123)
Formation energy from the elements ... -0.63 eV/atom
Energy relative to the lowest polymorph listed for this composition ... 0.068 eV per atom

***

Q: What is the M_tot in the second record?
A: 0.00 μB per formula unit